1.
Here is an optimized crystal structure of Y2ZrSi from Alexandria via LeMat-Bulk. Energies are from GGA-PBEsol.

The structure in POSCAR format:
```
Y2ZrSi
1.0
-3.609 -0.958 0.641
0.443 -3.581 -2.862
3.106 -0.767 5.146
Y Zr Si
2 1 1
direct
0.790 0.790 0.580 Y
0.210 0.210 0.420 Y
0.000 0.500 0.000 Zr
0.500 0.000 0.000 Si
```

Calculated values
**Energy relative to the elements, uncorrected**: -21.5 kJ per mole of atoms
**Crystal system**: orthorhombic
**Energy**: -7.34 eV per atom

=====

2.
Here is an optimized crystal structure of YZr2Si from Alexandria via LeMat-Bulk. Energies are from GGA-PBEsol.

The structure in POSCAR format:
```
YZr2Si
1.0
-2.674 -0.624 -1.880
-0.287 -2.921 -1.568
-5.363 -4.726 6.253
Zr Si Y
2 1 1
direct
0.005 0.005 0.985 Zr
0.759 0.759 0.722 Zr
0.496 0.496 0.511 Si
0.239 0.239 0.282 Y
```

Calculated values
**Energy relative to the elements, uncorrected**: -9.9 kJ per mole of atoms
**Crystal system**: trigonal
**Energy**: -7.79 eV per atom